Run A
A plane-wave DFT calculation with PBE was carried out for a relaxed structure of IrSeS2N.

Calculated volume: 15.9 Å³/atom
Magnetic moment: 0.000 μB per cell

a = 4.787 Å, b = 4.787 Å, c = 3.479 Å
α = 90.00°, β = 90.00°, γ = 90.00°
Positions (direct):
S 0.000 0.500 0.000
Se 0.000 0.000 0.000
S 0.500 0.000 0.000
N 0.000 0.000 0.500
Ir 0.500 0.500 0.500

Run B
A plane-wave DFT calculation with PBE was carried out for a relaxed structure of IrSeS2N.

Calculated volume: 17.3 Å³/atom
Magnetic moment: 0.000 μB per cell

a = 4.859 Å, b = 4.859 Å, c = 3.663 Å
α = 90.00°, β = 90.00°, γ = 90.00°
Positions (direct):
N 0.000 0.000 0.500
Ir 0.000 0.000 0.000
S 0.000 0.500 0.000
Se 0.500 0.500 0.500
S 0.500 0.000 0.000

Which of them is the least stable? Correct choice: run A.

Run A
A plane-wave DFT calculation with PBE was carried out for a relaxed structure of SnIrSN2.

Calculated volume: 17.0 Å³/atom
Magnetic moment: 3.980 μB per cell

a = 3.981 Å, b = 3.981 Å, c = 5.376 Å
α = 90.00°, β = 90.00°, γ = 90.00°
Last column: magnetic moment on the atom in μB.
Positions (direct):
Sn 0.000 0.000 0.000  -0.01
Ir 0.500 0.500 0.500  1.48
N 0.000 0.500 0.000  0.84
S 0.000 0.000 0.500  0.09
N 0.500 0.000 0.000  0.84

Run B
A plane-wave DFT calculation with PBE was carried out for a relaxed structure of SnIrSN2.

Calculated volume: 15.7 Å³/atom
Magnetic moment: 0.138 μB per cell

a = 3.878 Å, b = 3.878 Å, c = 5.224 Å
α = 90.00°, β = 90.00°, γ = 90.00°
Last column: magnetic moment on the atom in μB.
Positions (direct):
Sn 0.500 0.500 0.500  0.00
Ir 0.000 0.000 0.000  -0.01
N 0.500 0.000 0.000  0.06
S 0.000 0.000 0.500  0.00
N 0.000 0.500 0.000  0.06

Which of them is the least stable? Correct choice: run A.

Run A
A plane-wave DFT calculation with PBE was carried out for a relaxed structure of TcIrSN2.

Calculated volume: 14.5 Å³/atom
Magnetic moment: 0.654 μB per cell

a = 3.741 Å, b = 3.741 Å, c = 5.181 Å
α = 90.00°, β = 90.00°, γ = 90.00°
Last column: magnetic moment on the atom in μB.
Positions (direct):
Ir 0.500 0.500 0.500  0.63
N 0.500 0.000 0.000  0.01
N 0.000 0.500 0.000  0.01
S 0.000 0.000 0.500  0.01
Tc 0.000 0.000 0.000  -0.06

Run B
A plane-wave DFT calculation with PBE was carried out for a relaxed structure of TcIrSN2.

Calculated volume: 15.5 Å³/atom
Magnetic moment: 4.089 μB per cell

a = 3.744 Å, b = 3.744 Å, c = 5.538 Å
α = 90.00°, β = 90.00°, γ = 90.00°
Last column: magnetic moment on the atom in μB.
Positions (direct):
Tc 0.500 0.500 0.500  3.36
N 0.000 0.500 0.000  0.06
Ir 0.000 0.000 0.000  0.04
S 0.000 0.000 0.500  0.04
N 0.500 0.000 0.000  0.06

Which of them is the least stable? Correct choice: run B.

Run A
A plane-wave DFT calculation with PBE was carried out for a relaxed structure of TcIrS2N.

Calculated volume: 16.2 Å³/atom
Magnetic moment: 0.000 μB per cell

a = 4.719 Å, b = 4.719 Å, c = 3.631 Å
α = 90.00°, β = 90.00°, γ = 90.00°
Positions (direct):
Ir 0.500 0.500 0.500
Tc 0.000 0.000 0.000
S 0.500 0.000 0.000
S 0.000 0.500 0.000
N 0.000 0.000 0.500

Run B
A plane-wave DFT calculation with PBE was carried out for a relaxed structure of TcIrS2N.

Calculated volume: 17.3 Å³/atom
Magnetic moment: 4.308 μB per cell

a = 4.876 Å, b = 4.876 Å, c = 3.649 Å
α = 90.00°, β = 90.00°, γ = 90.00°
Last column: magnetic moment on the atom in μB.
Positions (direct):
S 0.000 0.500 0.000  0.03
S 0.500 0.000 0.000  0.03
Tc 0.500 0.500 0.500  3.60
N 0.000 0.000 0.500  0.06
Ir 0.000 0.000 0.000  0.04

Which of them is the least stable? Correct choice: run A.

Run A
A plane-wave DFT calculation with PBE was carried out for a relaxed structure of TiIrS2N.

Calculated volume: 16.4 Å³/atom
Magnetic moment: 0.169 μB per cell

a = 4.773 Å, b = 4.773 Å, c = 3.603 Å
α = 90.00°, β = 90.00°, γ = 90.00°
Last column: magnetic moment on the atom in μB.
Positions (direct):
N 0.000 0.000 0.500  0.10
S 0.000 0.500 0.000  0.01
S 0.500 0.000 0.000  0.01
Ti 0.000 0.000 0.000  -0.01
Ir 0.500 0.500 0.500  0.02

Run B
A plane-wave DFT calculation with PBE was carried out for a relaxed structure of TiIrS2N.

Calculated volume: 17.0 Å³/atom
Magnetic moment: 0.057 μB per cell

a = 4.832 Å, b = 4.832 Å, c = 3.640 Å
α = 90.00°, β = 90.00°, γ = 90.00°
Last column: magnetic moment on the atom in μB.
Positions (direct):
Ti 0.500 0.500 0.500  0.15
S 0.500 0.000 0.000  -0.03
N 0.000 0.000 0.500  -0.01
S 0.000 0.500 0.000  -0.03
Ir 0.000 0.000 0.000  -0.02

Which of them is the least stable? Correct choice: run A.

Run A
A plane-wave DFT calculation with PBE was carried out for a relaxed structure of TiIrSN2.

Calculated volume: 14.2 Å³/atom
Magnetic moment: 0.545 μB per cell

a = 3.800 Å, b = 3.800 Å, c = 4.931 Å
α = 90.00°, β = 90.00°, γ = 90.00°
Last column: magnetic moment on the atom in μB.
Positions (direct):
Ir 0.500 0.500 0.500  0.41
Ti 0.000 0.000 0.000  0.02
S 0.000 0.000 0.500  0.01
N 0.500 0.000 0.000  0.03
N 0.000 0.500 0.000  0.03

Run B
A plane-wave DFT calculation with PBE was carried out for a relaxed structure of TiIrSN2.

Calculated volume: 15.5 Å³/atom
Magnetic moment: 1.748 μB per cell

a = 3.736 Å, b = 3.736 Å, c = 5.543 Å
α = 90.00°, β = 90.00°, γ = 90.00°
Last column: magnetic moment on the atom in μB.
Positions (direct):
N 0.500 0.000 0.000  -0.02
S 0.000 0.000 0.500  -0.07
Ir 0.000 0.000 0.000  0.09
Ti 0.500 0.500 0.500  1.51
N 0.000 0.500 0.000  -0.02

Which of them is the least stable? Correct choice: run A.

Run A
A plane-wave DFT calculation with PBE was carried out for a relaxed structure of TlIrSN2.

Calculated volume: 19.2 Å³/atom
Magnetic moment: 4.719 μB per cell

a = 4.093 Å, b = 4.093 Å, c = 5.731 Å
α = 90.00°, β = 90.00°, γ = 90.00°
Last column: magnetic moment on the atom in μB.
Positions (direct):
N 0.500 0.000 0.000  0.93
Ir 0.500 0.500 0.500  1.72
Tl 0.000 0.000 0.000  0.00
S 0.000 0.000 0.500  0.20
N 0.000 0.500 0.000  0.93

Run B
A plane-wave DFT calculation with PBE was carried out for a relaxed structure of TlIrSN2.

Calculated volume: 16.3 Å³/atom
Magnetic moment: 0.000 μB per cell

a = 3.852 Å, b = 3.852 Å, c = 5.479 Å
α = 90.00°, β = 90.00°, γ = 90.00°
Positions (direct):
Tl 0.500 0.500 0.500
N 0.000 0.500 0.000
Ir 0.000 0.000 0.000
N 0.500 0.000 0.000
S 0.000 0.000 0.500

Which of them is the least stable? Correct choice: run A.